# Pm2Nd3Dy8 | Alexandria | PBE | optimized geometry
data_Pm2Nd3Dy8
_space_group_name_H-M_alt 'P -1'
_space_group_IT_number 2
_cell_length_a 6.219
_cell_length_b 6.227
_cell_length_c 11.345
_cell_angle_alpha 89.95
_cell_angle_beta 79.43
_cell_angle_gamma 80.39
loop_
_space_group_symop_operation_xyz
'x,y,z'
'-x,-y,-z'
loop_
_atom_site_label
_atom_site_type_symbol
_atom_site_fract_x
_atom_site_fract_y
_atom_site_fract_z
Pm1 Pm 0.116 0.231 0.038
Nd1 Nd 0.269 0.538 0.422
Nd2 Nd 0.500 0.000 0.500
Dy1 Dy 0.037 0.075 0.344
Dy2 Dy 0.192 0.386 0.733
Dy3 Dy 0.346 0.692 0.115
Dy4 Dy 0.424 0.847 0.809
# * E_tot: -4.645 eV/atom
# * calculated volume: 426 Å³/cell
# * formation energy from the elements: 0.018 eV per atom
# * M_tot: 0.000 μB per formula unit

---

# Pm3Nd8Dy3 | Alexandria | PBE | optimized geometry
data_Pm3Nd8Dy3
_space_group_name_H-M_alt 'I m m m'
_space_group_IT_number 71
_space_group_name_Hall '-I 2 2'
_cell_length_a 5.754
_cell_length_b 10.976
_cell_length_c 15.341
_cell_angle_alpha 90.00
_cell_angle_beta 90.00
_cell_angle_gamma 90.00
loop_
_atom_site_label
_atom_site_type_symbol
_atom_site_fract_x
_atom_site_fract_y
_atom_site_fract_z
Pm1 Pm 0.000 0.000 0.000
Pm2 Pm 0.000 0.500 0.320
Nd1 Nd 0.000 0.159 0.278
Nd2 Nd 0.000 0.338 0.104
Dy1 Dy 0.000 0.000 0.500
Dy2 Dy 0.000 0.300 0.500
# * energy above the lowest structure with this stoichiometry: 0 meV/atom
# * E_tot: -4.628 eV/atom
# * calculated volume: 969 Å³/cell
# * formation energy from the elements: 0.100 eV per atom
# * M_tot: 0.000 μB per formula unit

---

# Pm2Nd7Dy4 | Alexandria | PBE | optimized geometry
data_Pm2Nd7Dy4
_space_group_name_H-M_alt 'P -1'
_space_group_IT_number 2
_cell_length_a 6.291
_cell_length_b 8.124
_cell_length_c 9.620
_cell_angle_alpha 65.03
_cell_angle_beta 89.93
_cell_angle_gamma 82.74
loop_
_space_group_symop_operation_xyz
'x,y,z'
'-x,-y,-z'
loop_
_atom_site_label
_atom_site_type_symbol
_atom_site_fract_x
_atom_site_fract_y
_atom_site_fract_z
Pm1 Pm 0.155 0.076 0.116
Nd1 Nd 0.000 0.000 0.500
Nd2 Nd 0.075 0.539 0.807
Nd3 Nd 0.232 0.616 0.423
Nd4 Nd 0.386 0.694 0.038
Dy1 Dy 0.307 0.153 0.730
Dy2 Dy 0.462 0.228 0.348
# * E_tot: -4.701 eV/atom
# * calculated volume: 441 Å³/cell
# * formation energy from the elements: 0.013 eV per atom
# * M_tot: 0.000 μB per formula unit